DyY7Ho5 | PBE | optimized geometry

Output
Crystal system: orthorhombic
D(E_F), states/eV/atom: 2.033
Formation enthalpy at 0 K, meV per atom: 247
Total moment, μB per formula unit: 0.01

Cell: 6.6587 11.1614 11.5544 Å, 90.00 90.00 90.00°
With the nearest neighbours (Å) after each atom.
Space group Imm2 (No. 44)
Asymmetric unit:
Dy (0.0000, 0.0000, 0.0000) [2 per cell]  7 Y 3.54-3.89, 4 Ho 3.70
Y (0.0000, 0.0000, 0.3831) [2 per cell]  9 Y 3.59-4.00, 4 Ho 3.72
Y (0.0000, 0.0000, 0.6939) [2 per cell]  6 Ho 3.33-3.53, 1 Dy 3.54, 1 Y 3.59
Y (0.0000, 0.3269, 0.9393) [4 per cell]  5 Ho 3.44-3.47, 3 Y 3.46-3.77, 1 Dy 3.72
Y (0.0000, 0.3308, 0.4386) [4 per cell]  5 Ho 3.46-3.48, 5 Y 3.47-3.78
Y (0.0000, 0.5000, 0.6905) [2 per cell]  4 Ho 3.10, 4 Y 3.46-3.47
Ho (0.0000, 0.5000, 0.1861) [2 per cell]  6 Y 3.33-3.48, 4 Ho 3.41
Ho (0.2322, 0.2276, 0.1900) [8 per cell]  2 Ho 3.09-3.41, 3 Y 3.10-3.46